# CsAcCu2P2

Crystalline CsAcCu2P2 at its relaxed geometry (PBE-GGA, Alexandria via LeMat-Bulk).

* volume: 24.8 Å³ per atom
* N(E_F): 0.08 states/eV per atom
* SG: P-3m1, No. 164
* formation energy: -0.64 eV/atom

a b c (Å): 4.179 4.179 9.834
angles (deg): 90.00 90.00 120.00
Positions (direct):
1 Cs 0.000 0.000 0.000
2 Ac 0.000 0.000 0.500
3 Cu 0.333 0.667 0.717
4 Cu 0.667 0.333 0.283
5 P 0.333 0.667 0.294
6 P 0.667 0.333 0.706